YAsP2O: optimized geometry, PBE.

## Properties
Fermi-level density of states = 0.721 states/eV/atom
Space-group type = P4/mmm, No. 123
Energy above the lowest structure with this stoichiometry = 0.0 kJ/mol of atoms
Uncorrected energy = -28.9 eV for the cell shown

Structure (POSCAR):
```
YAsP2O
1.0
4.8274 0.0000 0.0000
0.0000 4.8274 0.0000
0.0000 0.0000 3.8523
Y As P O
1 1 2 1
Cartesian
0.0000 0.0000 0.0000
2.4137 2.4137 1.9261
0.0000 2.4137 1.9261
2.4137 0.0000 1.9261
2.4137 2.4137 0.0000
```